Computed, not measured: a geometry-optimized InIrN2 structure at the PBE level of DFT.

a = 6.5761 Å, b = 6.5761 Å, c = 6.5761 Å
α = 28.30°, β = 28.30°, γ = 28.30°
Closest atoms and distances in Å follow each position.
Sites, in units of the cell vectors:
In: 0.0000 0.0000 0.0000  6 N 2.26
Ir: 0.5000 0.5000 0.5000  2 N 1.86
N: 0.4017 0.4017 0.4017  1 Ir 1.86
N: 0.5983 0.5983 0.5983  1 Ir 1.86

Output
- V (Å³ per atom) = 14.12
- space group = R-3m
- magnetization (μB/f.u.) = 0.00
- raw total energy (eV for the cell shown) = -25.22
- E_form (uncorrected) (meV/atom) = 758.5
- D(E_F) (states/eV per atom) = 0.481

***

Computed, not measured: a geometry-optimized InIrN2 structure at the PBE level of DFT.

a = 6.7257 Å, b = 6.7257 Å, c = 6.7257 Å
α = 27.06°, β = 27.06°, γ = 27.06°
Closest atoms and distances in Å follow each position.
Sites, in units of the cell vectors:
In: 0.0000 0.0000 0.0000  2 N 2.26
Ir: 0.5000 0.5000 0.5000  6 N 2.06
N: 0.1162 0.1162 0.1162  3 Ir 2.06, 1 In 2.26
N: 0.8838 0.8838 0.8838  3 Ir 2.06, 1 In 2.26

Output
- V (Å³ per atom) = 13.88
- space group = R-3m
- magnetization (μB/f.u.) = 0.00
- raw total energy (eV for the cell shown) = -25.87
- E_form (uncorrected) (meV/atom) = 595.1
- D(E_F) (states/eV per atom) = 0.695

***

Computed, not measured: a geometry-optimized InIrN2 structure at the PBE level of DFT.

a = 6.2158 Å, b = 6.2158 Å, c = 6.2158 Å
α = 135.39°, β = 135.39°, γ = 64.92°
Closest atoms and distances in Å follow each position.
Sites, in units of the cell vectors:
In: 0.0000 0.0000 0.0000  4 N 2.24
In: 0.7500 0.2500 0.5000  4 N 2.24
Ir: 0.2500 0.7500 0.5000  4 N 2.02
Ir: 0.5000 0.5000 0.0000  4 N 2.02
N: 0.1664 0.6250 0.0414  2 Ir 2.02, 2 In 2.24
N: 0.3750 0.4164 0.5414  2 Ir 2.02, 2 In 2.24
N: 0.5836 0.1250 0.9586  2 Ir 2.02, 2 In 2.24
N: 0.8750 0.8336 0.4586  2 Ir 2.02, 2 In 2.24

Output
- V (Å³ per atom) = 14.59
- space group = I-42d
- magnetization (μB/f.u.) = 0.00
- raw total energy (eV for the cell shown) = -50.86
- E_form (uncorrected) (meV/atom) = 705.6
- D(E_F) (states/eV per atom) = 0.542

***

Computed, not measured: a geometry-optimized InIrN3 structure at the PBE level of DFT.

a = 3.9189 Å, b = 3.9189 Å, c = 3.9189 Å
α = 90.00°, β = 90.00°, γ = 90.00°
Closest atoms and distances in Å follow each position.
Sites, in units of the cell vectors:
In: 0.0000 0.0000 0.0000  12 N 2.77
Ir: 0.5000 0.5000 0.5000  6 N 1.96
N: 0.0000 0.5000 0.5000  2 Ir 1.96
N: 0.5000 0.0000 0.5000  2 Ir 1.96
N: 0.5000 0.5000 0.0000  2 Ir 1.96

Output
- V (Å³ per atom) = 12.04
- space group = Pm-3m
- magnetization (μB/f.u.) = 0.00
- raw total energy (eV for the cell shown) = -30.36
- E_form (uncorrected) (meV/atom) = 1242.4
- D(E_F) (states/eV per atom) = 1.026

***

Computed, not measured: a geometry-optimized In3IrN structure at the PBE level of DFT.

a = 4.5097 Å, b = 4.5097 Å, c = 4.5097 Å
α = 90.00°, β = 90.00°, γ = 90.00°
Closest atoms and distances in Å follow each position.
Sites, in units of the cell vectors:
In: 0.0000 0.0000 0.5000  2 N 2.25
In: 0.0000 0.5000 0.0000  2 N 2.25
In: 0.5000 0.0000 0.0000  2 N 2.25
Ir: 0.5000 0.5000 0.5000  12 In 3.19
N: 0.0000 0.0000 0.0000  6 In 2.25

Output
- V (Å³ per atom) = 18.34
- space group = Pm-3m
- magnetization (μB/f.u.) = 0.00
- ΔE to the lowest computed polymorph (eV per formula unit) = 0.00
- raw total energy (eV for the cell shown) = -22.21
- E_form (uncorrected) (meV/atom) = 637.6
- D(E_F) (states/eV per atom) = 0.698

***

Computed, not measured: a geometry-optimized In3IrN structure at the PBE level of DFT.

a = 5.1706 Å, b = 5.1706 Å, c = 5.1706 Å
α = 90.00°, β = 90.00°, γ = 90.00°
Closest atoms and distances in Å follow each position.
Sites, in units of the cell vectors:
In: 0.0000 0.0000 0.5000  2 Ir 2.59
In: 0.0000 0.5000 0.0000  2 Ir 2.59
In: 0.5000 0.0000 0.0000  2 Ir 2.59
Ir: 0.0000 0.0000 0.0000  6 In 2.59
N: 0.5000 0.5000 0.5000  12 In 3.66

Output
- V (Å³ per atom) = 27.65
- space group = Pm-3m
- magnetization (μB/f.u.) = 2.58
- ΔE to the lowest computed polymorph (eV per formula unit) = 0.80
- raw total energy (eV for the cell shown) = -21.41
- E_form (uncorrected) (meV/atom) = 797.5
- D(E_F) (states/eV per atom) = 0.533

***

Computed, not measured: a geometry-optimized InIr2N structure at the PBE level of DFT.

a = 4.3581 Å, b = 4.3581 Å, c = 4.3581 Å
α = 60.00°, β = 60.00°, γ = 60.00°
Closest atoms and distances in Å follow each position.
Sites, in units of the cell vectors:
In: 0.0000 0.0000 0.0000  8 Ir 2.67
Ir: 0.2500 0.2500 0.2500  4 N 2.67, 4 In 2.67
Ir: 0.7500 0.7500 0.7500  4 In 2.67, 4 N 2.67
N: 0.5000 0.5000 0.5000  8 Ir 2.67

Output
- V (Å³ per atom) = 14.63
- space group = Fm-3m
- magnetization (μB/f.u.) = 0.13
- ΔE to the lowest computed polymorph (eV per formula unit) = 4.28
- raw total energy (eV for the cell shown) = -23.22
- E_form (uncorrected) (meV/atom) = 1391.5
- D(E_F) (states/eV per atom) = 1.210

***

Computed, not measured: a geometry-optimized InIr2N structure at the PBE level of DFT.

a = 5.4490 Å, b = 5.4490 Å, c = 5.4490 Å
α = 107.36°, β = 107.36°, γ = 113.77°
Closest atoms and distances in Å follow each position.
Sites, in units of the cell vectors:
In: 0.0000 0.0000 0.0000  8 Ir 2.87-2.99, 2 N 2.98
In: 0.7500 0.2500 0.5000  8 Ir 2.87-2.99, 2 N 2.98
Ir: 0.2477 0.6250 0.1227  2 N 1.96
Ir: 0.3750 0.4977 0.6227  2 N 1.96
Ir: 0.5023 0.1250 0.8773  2 N 1.96
Ir: 0.8750 0.7523 0.3773  2 N 1.96
N: 0.2500 0.7500 0.5000  4 Ir 1.96
N: 0.5000 0.5000 0.0000  4 Ir 1.96

Output
- V (Å³ per atom) = 15.50
- space group = I-42d
- magnetization (μB/f.u.) = 0.00
- ΔE to the lowest computed polymorph (eV per formula unit) = 0.00
- raw total energy (eV for the cell shown) = -55.00
- E_form (uncorrected) (meV/atom) = 321.6
- D(E_F) (states/eV per atom) = 0.083

***

Computed, not measured: a geometry-optimized InIrN3 structure at the PBE level of DFT.

a = 4.0673 Å, b = 4.0673 Å, c = 4.0673 Å
α = 90.00°, β = 90.00°, γ = 90.00°
Closest atoms and distances in Å follow each position.
Sites, in units of the cell vectors:
In: 0.0000 0.0000 0.0000  6 N 2.03
Ir: 0.5000 0.5000 0.5000  12 N 2.88
N: 0.0000 0.0000 0.5000  2 In 2.03
N: 0.0000 0.5000 0.0000  2 In 2.03
N: 0.5000 0.0000 0.0000  2 In 2.03

Output
- V (Å³ per atom) = 13.46
- space group = Pm-3m
- magnetization (μB/f.u.) = 0.00
- raw total energy (eV for the cell shown) = -23.07
- E_form (uncorrected) (meV/atom) = 2701.6
- D(E_F) (states/eV per atom) = 0.740

***

Computed, not measured: a geometry-optimized Nb2InIrN structure at the PBE level of DFT.

a = 5.1682 Å, b = 5.1682 Å, c = 3.7400 Å
α = 90.00°, β = 90.00°, γ = 90.00°
Closest atoms and distances in Å follow each position.
Sites, in units of the cell vectors:
Nb: 0.0000 0.5000 0.0000  2 In 2.58
Nb: 0.5000 0.0000 0.0000  2 In 2.58
In: 0.0000 0.0000 0.0000  2 N 1.87
Ir: 0.5000 0.5000 0.5000  8 Nb 3.19
N: 0.0000 0.0000 0.5000  2 In 1.87

Output
- V (Å³ per atom) = 19.98
- space group = P4/mmm
- magnetization (μB/f.u.) = 0.00
- raw total energy (eV for the cell shown) = -29.41
- E_form (uncorrected) (meV/atom) = 2130.9
- D(E_F) (states/eV per atom) = 1.316

***

Computed, not measured: a geometry-optimized In2NiIrN structure at the PBE level of DFT.

a = 5.1541 Å, b = 5.1541 Å, c = 4.6290 Å
α = 90.00°, β = 90.00°, γ = 90.00°
Closest atoms and distances in Å follow each position.
Sites, in units of the cell vectors:
In: 0.0000 0.5000 0.0000  2 Ir 2.58
In: 0.5000 0.0000 0.0000  2 Ir 2.58
Ni: 0.0000 0.0000 0.5000  2 Ir 2.31
Ir: 0.0000 0.0000 0.0000  2 Ni 2.31, 4 In 2.58
N: 0.5000 0.5000 0.5000  8 In 3.46, 4 Ni 3.64

Output
- V (Å³ per atom) = 24.59
- space group = P4/mmm
- magnetization (μB/f.u.) = 3.71
- raw total energy (eV for the cell shown) = -21.95
- E_form (uncorrected) (meV/atom) = 1299.7
- D(E_F) (states/eV per atom) = 0.714

***

Computed, not measured: a geometry-optimized InIrNO2 structure at the PBE level of DFT.

a = 4.0917 Å, b = 4.0917 Å, c = 3.7690 Å
α = 90.00°, β = 90.00°, γ = 90.00°
Closest atoms and distances in Å follow each position.
Sites, in units of the cell vectors:
In: 0.0000 0.0000 0.0000  8 O 2.78, 4 N 2.89
Ir: 0.5000 0.5000 0.5000  2 N 1.88, 4 O 2.05
N: 0.5000 0.5000 0.0000  2 Ir 1.88
O: 0.0000 0.5000 0.5000  2 Ir 2.05
O: 0.5000 0.0000 0.5000  2 Ir 2.05

Output
- V (Å³ per atom) = 12.62
- space group = P4/mmm
- magnetization (μB/f.u.) = 0.00
- raw total energy (eV for the cell shown) = -29.98
- E_form (uncorrected) (meV/atom) = -26.8
- D(E_F) (states/eV per atom) = 0.669